The following is a DFT calculation (PBE) of crystalline Pm2SnSb3Pd4 at its relaxed geometry.

Lattice parameters (Å, degrees): 4.494 4.494 11.174 90.00 90.00 90.00
Sites, in units of the cell vectors:
Pm (0.000, 0.500, 0.233)
Pm (0.500, 0.000, 0.767)
Sn (0.000, 0.000, 0.500)
Sb (0.000, 0.500, 0.868)
Sb (0.500, 0.000, 0.132)
Sb (0.500, 0.500, 0.500)
Pd (0.000, 0.000, 0.000)
Pd (0.000, 0.500, 0.637)
Pd (0.500, 0.000, 0.363)
Pd (0.500, 0.500, 0.000)

size of the total moment = 0.000 μB/f.u.
theoretical density = 8827 kg/m3
DOS(E_F) = 4.80 states/eV per cell
raw formation energy = -0.81 eV per atom
volume = 225.7 Å³/cell
total energy = -5.47 eV per atom